## CeCrB4 (PBE)

Data for CeCrB4 after structural relaxation.

The structure in POSCAR format:
```
CeCrB4
1.0
5.960 0.000 0.000
0.000 11.527 0.000
0.000 0.000 3.548
Ce Cr B
4 4 16
Cartesian
0.737 1.741 0.000
2.243 7.505 0.000
3.717 4.022 0.000
5.223 9.786 0.000
0.734 4.824 0.000
2.246 10.588 0.000
3.714 0.940 0.000
5.225 6.704 0.000
0.151 7.952 1.774
0.669 6.291 1.774
0.834 11.145 1.774
1.319 9.417 1.774
1.660 3.654 1.774
2.146 5.382 1.774
2.310 0.528 1.774
2.829 2.188 1.774
3.131 9.339 1.774
3.649 11.000 1.774
3.814 6.146 1.774
4.299 7.874 1.774
4.640 2.110 1.774
5.126 0.382 1.774
5.290 5.236 1.774
5.809 3.575 1.774
```

Output
Space-group type: Pbam (55)
Formation energy: -0.60 eV/atom

=====

## CeCr2B6 (PBE)

Data for CeCr2B6 after structural relaxation.

The structure in POSCAR format:
```
CeCr2B6
1.0
-1.535 3.265 4.161
1.535 -3.265 4.161
1.535 3.265 -4.161
Ce Cr B
1 2 6
Cartesian
0.000 0.000 0.000
1.535 0.000 2.874
0.000 3.265 1.286
1.535 1.715 -1.635
1.535 2.335 0.000
1.535 1.715 1.635
0.000 1.550 2.526
0.000 0.930 4.161
0.000 1.550 5.795
```

Output
Space-group type: Immm (71)
Formation energy: -0.62 eV/atom

=====

## CeCrB2 (PBE)

Data for CeCrB2 after structural relaxation.

The structure in POSCAR format:
```
CeCrB2
1.0
1.606 0.927 5.821
-1.606 0.927 5.821
0.000 -1.854 5.821
Ce Cr B
1 1 2
Cartesian
0.000 0.000 0.000
0.000 0.000 8.731
0.000 0.000 3.924
0.000 0.000 13.538
```

Output
Space-group type: R-3m (166)
Formation energy: 0.15 eV/atom

=====

## Ce2CrB2Ru5 (PBE)

Data for Ce2CrB2Ru5 after structural relaxation.

The structure in POSCAR format:
```
Ce2CrB2Ru5
1.0
9.673 0.000 0.000
0.000 9.673 0.000
0.000 0.000 3.076
Ce Cr B Ru
4 2 4 10
Cartesian
1.716 3.120 0.000
3.120 7.957 0.000
6.552 1.716 0.000
7.957 6.552 0.000
0.000 0.000 0.000
4.836 4.836 0.000
1.175 6.012 0.000
3.661 1.175 0.000
6.012 8.497 0.000
8.497 3.661 0.000
0.000 4.836 1.538
0.672 7.568 1.538
2.105 0.672 1.538
2.731 5.509 1.538
4.164 2.731 1.538
4.836 0.000 1.538
5.509 6.942 1.538
6.942 4.164 1.538
7.568 9.000 1.538
9.000 2.105 1.538
```

Output
Space-group type: P4/mbm (127)
Formation energy: -0.38 eV/atom

=====

## CsCeB2H8 (PBE)

Data for CsCeB2H8 after structural relaxation.

The structure in POSCAR format:
```
CsCeB2H8
1.0
2.117 1.222 8.727
-2.117 1.222 8.727
0.000 -2.444 8.727
Cs Ce B H
1 1 2 8
Cartesian
0.000 0.000 0.000
0.000 0.000 13.091
0.000 0.000 6.150
0.000 0.000 20.032
0.000 -1.179 5.736
-1.021 0.590 5.736
0.000 0.000 7.376
-1.021 -0.590 20.446
1.021 0.590 5.736
0.000 0.000 18.806
1.021 -0.590 20.446
0.000 1.179 20.446
```

Output
Space-group type: R-3m (166)
Total DFT energy (no corrections): -0.1545 hartree per atom

=====

## CsCeB2O6 (PBE)

Data for CsCeB2O6 after structural relaxation.

The structure in POSCAR format:
```
CsCeB2O6
1.0
4.653 -5.069 0.000
4.653 5.069 0.000
-2.936 0.000 7.555
Cs Ce B O
2 2 4 12
Cartesian
2.451 3.797 5.667
3.919 -3.797 1.889
3.919 1.835 1.889
2.451 -1.835 5.667
0.338 0.977 6.144
1.806 -0.977 2.366
4.565 0.977 5.189
6.033 -0.977 1.411
-0.669 1.551 5.409
0.881 1.646 7.220
2.287 0.271 2.051
0.799 -1.551 1.631
0.819 -0.271 5.829
4.021 1.646 4.113
2.349 -1.646 3.443
5.551 0.271 1.727
5.572 1.551 5.924
4.083 -0.271 5.505
5.489 -1.646 0.335
7.040 -1.551 2.146
```

Output
Space-group type: C2/c (15)
Formation energy (no corrections): -2.45 eV/atom

=====

Copy entry 3 word for word.
## CeCrB2 (PBE)

Data for CeCrB2 after structural relaxation.

The structure in POSCAR format:
```
CeCrB2
1.0
1.606 0.927 5.821
-1.606 0.927 5.821
0.000 -1.854 5.821
Ce Cr B
1 1 2
Cartesian
0.000 0.000 0.000
0.000 0.000 8.731
0.000 0.000 3.924
0.000 0.000 13.538
```

Output
Space-group type: R-3m (166)
Formation energy: 0.15 eV/atom